An optimized crystal structure of Zr2ScNi, computed with PBE.

Cell and atoms, written as POSCAR:
```
Zr2ScNi
1.0
1.6245 -5.2984 0.0000
1.6245 5.2984 0.0000
0.0000 0.0000 9.2972
Zr Sc Ni
4 2 2
Cartesian
1.6245 3.8729 5.1133
1.6245 3.8729 8.8324
1.6245 -3.8729 0.4647
1.6245 -3.8729 4.1839
1.6245 0.8073 6.9729
1.6245 -0.8073 2.3243
1.6245 2.3921 2.3243
1.6245 -2.3921 6.9729
```

## Properties
For the formation energy, the calculation gives -0.242 eV/atom. Its excess energy over the best structure of this formula in the dataset is 0.000 eV per atom. The calculation puts the theoretical density at 5937 kg/m3. The calculation puts the spin magnetization at 0.00 μB/atom. The value obtained for the energy is -60.36 eV per cell.



An optimized crystal structure of YInAu2, computed with PBE.

Cell and atoms, written as POSCAR:
```
YInAu2
1.0
3.6607 0.0000 0.0000
0.0000 3.6614 0.0000
-0.2322 0.0000 6.6808
Y In Au
1 1 2
Cartesian
0.0000 0.0000 0.0000
-0.1161 0.0000 3.3404
1.5927 1.8307 5.0542
1.8358 1.8307 1.6266
```

## Properties
For the formation energy, the calculation gives -0.603 eV/atom. The calculation puts the theoretical density at 11083 kg/m3. The calculation puts the spin magnetization at 0.00 μB/atom. The value obtained for the energy is -18.17 eV per cell.



An optimized crystal structure of Er2TmZn, computed with PBE.

Cell and atoms, written as POSCAR:
```
Er2TmZn
1.0
3.5225 0.0000 0.0000
0.0000 3.5225 0.0000
0.0000 0.0000 8.5046
Er Tm Zn
2 1 1
Cartesian
0.0000 0.0000 1.7692
0.0000 0.0000 6.7354
1.7613 1.7613 4.2523
1.7613 1.7613 0.0000
```

## Properties
For the formation energy, the calculation gives -0.161 eV/atom. Its excess energy over the best structure of this formula in the dataset is 0.000 eV per atom. The calculation puts the theoretical density at 8952 kg/m3. The calculation puts the spin magnetization at 0.00 μB/atom. The value obtained for the energy is -15.51 eV per cell.



An optimized crystal structure of Si2As, computed with PBE.

Cell and atoms, written as POSCAR:
```
Si2As
1.0
0.0000 3.6728 3.6728
3.6728 0.0000 3.6728
3.6728 3.6728 0.0000
Si As
4 2
Cartesian
0.0000 0.0000 0.0000
1.8364 1.8364 0.0000
1.8364 0.0000 1.8364
0.0000 1.8364 1.8364
2.7546 2.7546 2.7546
4.5910 4.5910 4.5910
```

## Properties
The calculation puts the raw formation energy at 14.1 kcal/mol of atoms. Its excess energy over the best structure of this formula in the dataset is 0.453 eV per atom. The calculation puts the theoretical density at 4394 kg/m3. The calculation puts the spin magnetization at 0.00 μB/atom. The value obtained for the energy is -27.31 eV per cell.